[1]
{"formula": "CrInOs2", "functional": "GGA-PBE", "state": "relaxed", "lattice_angstrom": [[-6.369, 1.917, -2.795], [-3.313, -2.270, 5.993], [-4.584, 2.197, 2.640]], "species": ["Cr", "Cr", "Os", "Os", "Os", "Os", "In", "In"], "frac_coords": [[0.500, 0.500, 0.000], [0.250, 0.750, 0.500], [0.561, 0.125, 0.250], [0.189, 0.625, 0.250], [0.375, 0.439, 0.750], [0.875, 0.811, 0.750], [0.000, 0.000, 0.000], [0.750, 0.250, 0.500]], "sg": "I-42d", "formation_enthalpy_0k_mev_per_atom": 782, "vol_a3_per_cell": 135.55, "m_tot_mub_per_fu": 0.00}

[2]
{"formula": "Cr2InOs", "functional": "GGA-PBE", "state": "relaxed", "lattice_angstrom": [[6.552, 0.003, 0.008], [-2.613, 3.765, 0.020], [1.325, 0.908, 2.477]], "species": ["Cr", "Cr", "In", "Os"], "frac_coords": [[0.000, 0.000, 0.000], [0.500, 0.000, 0.500], [0.000, 0.500, 0.500], [0.500, 0.500, 0.000]], "sg": "Cmmm", "formation_enthalpy_0k_mev_per_atom": 453, "vol_a3_per_cell": 60.93, "m_tot_mub_per_fu": 4.72}

[3]
{"formula": "Cr2InOs", "functional": "GGA-PBE", "state": "relaxed", "lattice_angstrom": [[-0.612, -2.917, -0.364], [2.897, -0.535, -0.578], [1.080, -1.021, 6.359]], "species": ["Cr", "Cr", "In", "Os"], "frac_coords": [[0.000, 0.000, 0.017], [0.500, 0.500, 0.202], [0.000, 0.000, 0.492], [0.500, 0.500, 0.789]], "sg": "P4mm", "formation_enthalpy_0k_mev_per_atom": 321, "vol_a3_per_cell": 58.87, "m_tot_mub_per_fu": 0.95}

[4]
{"formula": "CrInOs2", "functional": "GGA-PBE", "state": "relaxed", "lattice_angstrom": [[-0.458, 0.874, -4.320], [-3.439, -1.664, -2.244], [-3.246, 2.679, -1.386]], "species": ["Cr", "In", "Os", "Os"], "frac_coords": [[0.500, 0.500, 0.500], [0.750, 0.750, 0.750], [0.000, 0.000, 0.000], [0.250, 0.250, 0.250]], "sg": "F-43m", "formation_enthalpy_0k_mev_per_atom": 628, "vol_a3_per_cell": 61.51, "m_tot_mub_per_fu": 1.72}

[5]
{"formula": "CrInOs3", "functional": "GGA-PBE", "state": "relaxed", "lattice_angstrom": [[4.740, 0.000, 0.000], [0.000, 4.740, 0.000], [0.000, 0.000, 4.740]], "species": ["Cr", "Os", "Os", "Os", "In"], "frac_coords": [[0.500, 0.500, 0.500], [0.000, 0.500, 0.000], [0.000, 0.000, 0.500], [0.500, 0.000, 0.000], [0.000, 0.000, 0.000]], "sg": "Pm-3m", "formation_enthalpy_0k_mev_per_atom": 3270, "vol_a3_per_cell": 106.47, "m_tot_mub_per_fu": 0.06}

[6]
{"formula": "CrInOs2", "functional": "GGA-PBE", "state": "relaxed", "lattice_angstrom": [[9.063, 0.007, 0.004], [8.625, 2.782, 0.004], [8.625, 1.360, 2.427]], "species": ["Cr", "In", "Os", "Os"], "frac_coords": [[0.250, 0.250, 0.250], [0.750, 0.750, 0.750], [0.991, 0.991, 0.991], [0.509, 0.509, 0.509]], "sg": "R-3m", "formation_enthalpy_0k_mev_per_atom": 362, "vol_a3_per_cell": 60.94, "m_tot_mub_per_fu": 0.30}

[7]
{"formula": "CrIn4Os", "functional": "GGA-PBE", "state": "relaxed", "lattice_angstrom": [[0.000, 4.014, 4.014], [4.014, 0.000, 4.014], [4.014, 4.014, 0.000]], "species": ["Cr", "In", "In", "In", "In", "Os"], "frac_coords": [[0.000, 0.000, 0.000], [0.874, 0.375, 0.375], [0.375, 0.375, 0.874], [0.375, 0.874, 0.375], [0.375, 0.375, 0.375], [0.750, 0.750, 0.750]], "sg": "F-43m", "formation_enthalpy_0k_mev_per_atom": 995, "vol_a3_per_cell": 129.39, "m_tot_mub_per_fu": 5.60}

[8]
{"formula": "Cr2InOs", "functional": "GGA-PBE", "state": "relaxed", "lattice_angstrom": [[8.623, 0.004, 0.002], [8.151, 2.815, 0.002], [8.151, 1.370, 2.459]], "species": ["Cr", "Cr", "In", "Os"], "frac_coords": [[0.994, 0.994, 0.994], [0.263, 0.263, 0.263], [0.503, 0.503, 0.503], [0.740, 0.740, 0.740]], "sg": "R3m", "formation_enthalpy_0k_mev_per_atom": 450, "vol_a3_per_cell": 59.57, "m_tot_mub_per_fu": 0.06}

[9]
{"formula": "Cr3InOs", "functional": "GGA-PBE", "state": "relaxed", "lattice_angstrom": [[-0.009, -2.764, 3.822], [3.878, -2.179, -1.567], [2.684, 3.139, 2.276]], "species": ["Cr", "Cr", "Cr", "Os", "In"], "frac_coords": [[0.000, 0.500, 0.000], [0.000, 0.000, 0.500], [0.500, 0.000, 0.000], [0.000, 0.000, 0.000], [0.500, 0.500, 0.500]], "sg": "Pm-3m", "formation_enthalpy_0k_mev_per_atom": 1151, "vol_a3_per_cell": 104.90, "e_above_lowest_polymorph_ev_per_atom": 0.000, "m_tot_mub_per_fu": 8.97}

[10]
{"formula": "Cr4InOs", "functional": "GGA-PBE", "state": "relaxed", "lattice_angstrom": [[0.000, 3.423, 3.423], [3.423, 0.000, 3.423], [3.423, 3.423, 0.000]], "species": ["Cr", "Cr", "Cr", "Cr", "In", "Os"], "frac_coords": [[0.869, 0.377, 0.377], [0.377, 0.377, 0.869], [0.377, 0.869, 0.377], [0.377, 0.377, 0.377], [0.750, 0.750, 0.750], [0.000, 0.000, 0.000]], "sg": "F-43m", "formation_enthalpy_0k_mev_per_atom": 242, "vol_a3_per_cell": 80.19, "m_tot_mub_per_fu": 0.00}

[11]
{"formula": "Cr2InOs", "functional": "GGA-PBE", "state": "relaxed", "lattice_angstrom": [[-0.657, -2.317, -1.354], [2.582, 0.903, -0.389], [2.654, -4.688, 6.733]], "species": ["Cr", "Cr", "In", "Os"], "frac_coords": [[0.000, 0.000, 0.015], [0.500, 0.500, 0.216], [0.000, 0.000, 0.492], [0.500, 0.500, 0.777]], "sg": "Cmm2", "formation_enthalpy_0k_mev_per_atom": 513, "vol_a3_per_cell": 59.51, "m_tot_mub_per_fu": 0.00}

[12]
{"formula": "Cr2InOs", "functional": "GGA-PBE", "state": "relaxed", "lattice_angstrom": [[4.929, 0.006, 0.057], [4.041, 2.822, 0.057], [1.504, 0.474, 4.295]], "species": ["Cr", "Cr", "In", "Os"], "frac_coords": [[0.009, 0.009, 0.998], [0.725, 0.725, 0.783], [0.496, 0.496, 0.507], [0.270, 0.270, 0.212]], "sg": "Cm", "formation_enthalpy_0k_mev_per_atom": 337, "vol_a3_per_cell": 59.37, "m_tot_mub_per_fu": 0.05}